[1]
Compound: BeMoP4
Source: Alexandria via LeMat-Bulk
Functional: PBE-GGA
Structure: relaxed

* magnetization: 0.00 μB per formula unit
* E_form: 0.79 eV per atom

Structure (CIF):
```
data_BeMoP4
_chemical_formula_sum 'Be4 Mo4 P16'
_cell_length_a 6.8929
_cell_length_b 6.8929
_cell_length_c 6.8929
_cell_angle_alpha 90.00
_cell_angle_beta 90.00
_cell_angle_gamma 90.00
_space_group_name_H-M_alt 'F -4 3 m'
_space_group_IT_number 216
_space_group_name_Hall 'F -4 2 3'
loop_
_atom_site_label
_atom_site_fract_x
_atom_site_fract_y
_atom_site_fract_z
_atom_site_occupancy
Be1 0.0000 0.0000 0.0000 1
Mo1 0.2500 0.2500 0.2500 1
P1 0.1244 0.1244 0.6244 1
```


[2]
Compound: RbBeMoP2
Source: Alexandria via LeMat-Bulk
Functional: PBE-GGA
Structure: relaxed

* magnetization: 1.02 μB per formula unit
* E_form: 0.97 eV per atom

Structure (CIF):
```
data_RbBeMoP2
_chemical_formula_sum 'Rb1 Be1 Mo1 P2'
_cell_length_a 4.6947
_cell_length_b 4.6947
_cell_length_c 6.6294
_cell_angle_alpha 90.00
_cell_angle_beta 90.00
_cell_angle_gamma 90.00
_space_group_name_H-M_alt 'P 4/m m m'
_space_group_IT_number 123
_space_group_name_Hall '-P 4 2'
loop_
_atom_site_label
_atom_site_fract_x
_atom_site_fract_y
_atom_site_fract_z
_atom_site_occupancy
Rb1 0.0000 0.0000 0.0000 1
Be1 0.5000 0.5000 0.0000 1
Mo1 0.0000 0.0000 0.5000 1
P1 0.0000 0.5000 0.5000 1
```


[3]
Compound: BeMoPS2
Source: Alexandria via LeMat-Bulk
Functional: PBE-GGA
Structure: relaxed

* magnetization: 0.00 μB per formula unit
* uncorrected formation energy: 3.4 eV per formula unit

Structure (CIF):
```
data_BeMoPS2
_chemical_formula_sum 'Be1 Mo1 P1 S2'
_cell_length_a 4.5938
_cell_length_b 4.5938
_cell_length_c 4.9024
_cell_angle_alpha 90.00
_cell_angle_beta 90.00
_cell_angle_gamma 90.00
_space_group_name_H-M_alt 'P 4/m m m'
_space_group_IT_number 123
_space_group_name_Hall '-P 4 2'
loop_
_atom_site_label
_atom_site_fract_x
_atom_site_fract_y
_atom_site_fract_z
_atom_site_occupancy
Be1 0.0000 0.0000 0.0000 1
Mo1 0.5000 0.5000 0.5000 1
P1 0.5000 0.5000 0.0000 1
S1 0.0000 0.5000 0.5000 1
```